A relaxed structure of LiAlP2S, computed with PBE.

For the energy above the most stable polymorph in this dataset, the calculation gives 0.00 eV per formula unit. As for the energy relative to the elements, uncorrected: 232 meV/atom. The crystal system is tetragonal.

CIF file:
```
data_LiAlP2S
_chemical_formula_sum 'Li1 Al1 P2 S1'
_symmetry_space_group_name_H-M 'P 1'
_symmetry_Int_Tables_number 1
_symmetry_space_group_name_Hall 'P 1'
_cell_length_a 4.6510
_cell_length_b 4.6510
_cell_length_c 4.8092
_cell_angle_alpha 90.00
_cell_angle_beta 90.00
_cell_angle_gamma 90.00
loop_
_atom_site_label
_atom_site_fract_x
_atom_site_fract_y
_atom_site_fract_z
_atom_site_occupancy
Li1 0.0000 0.0000 0.0000 1
Al1 0.5000 0.5000 0.5000 1
P1 0.0000 0.5000 0.5000 1
P2 0.5000 0.0000 0.5000 1
S1 0.5000 0.5000 0.0000 1
```



A relaxed structure of NaGdSn, computed with PBE.

The crystal system is hexagonal. The value obtained for the formation energy from the elements is -292 meV/atom.

CIF file:
```
data_NaGdSn
_chemical_formula_sum 'Na1 Gd1 Sn1'
_symmetry_space_group_name_H-M 'P 1'
_symmetry_Int_Tables_number 1
_symmetry_space_group_name_Hall 'P 1'
_cell_length_a 5.1733
_cell_length_b 5.1733
_cell_length_c 3.5468
_cell_angle_alpha 90.00
_cell_angle_beta 90.00
_cell_angle_gamma 120.00
loop_
_atom_site_label
_atom_site_fract_x
_atom_site_fract_y
_atom_site_fract_z
_atom_site_occupancy
Na1 0.0000 0.0000 0.0000 1
Gd1 0.3333 0.6667 0.5000 1
Sn1 0.6667 0.3333 0.0000 1
```



A relaxed structure of SrGeP2S, computed with PBE.

For the energy above the most stable polymorph in this dataset, the calculation gives 0.00 eV per formula unit. As for the energy relative to the elements, uncorrected: -97 meV/atom. The crystal system is tetragonal.

CIF file:
```
data_SrGeP2S
_chemical_formula_sum 'Sr1 Ge1 P2 S1'
_symmetry_space_group_name_H-M 'P 1'
_symmetry_Int_Tables_number 1
_symmetry_space_group_name_Hall 'P 1'
_cell_length_a 4.7733
_cell_length_b 4.7733
_cell_length_c 5.0186
_cell_angle_alpha 90.00
_cell_angle_beta 90.00
_cell_angle_gamma 90.00
loop_
_atom_site_label
_atom_site_fract_x
_atom_site_fract_y
_atom_site_fract_z
_atom_site_occupancy
Sr1 0.0000 0.0000 0.0000 1
Ge1 0.5000 0.5000 0.5000 1
P1 0.0000 0.5000 0.5000 1
P2 0.5000 0.0000 0.5000 1
S1 0.5000 0.5000 0.0000 1
```



A relaxed structure of ScReOs3, computed with PBE.

For the energy above the most stable polymorph in this dataset, the calculation gives 0.00 eV per formula unit. The crystal system is cubic. The value obtained for the formation energy from the elements is 1493 meV/atom.

CIF file:
```
data_ScReOs3
_chemical_formula_sum 'Sc1 Re1 Os3'
_symmetry_space_group_name_H-M 'P 1'
_symmetry_Int_Tables_number 1
_symmetry_space_group_name_Hall 'P 1'
_cell_length_a 4.7045
_cell_length_b 4.7045
_cell_length_c 4.7045
_cell_angle_alpha 90.00
_cell_angle_beta 90.00
_cell_angle_gamma 90.00
loop_
_atom_site_label
_atom_site_fract_x
_atom_site_fract_y
_atom_site_fract_z
_atom_site_occupancy
Sc1 0.0000 0.0000 0.0000 1
Re1 0.5000 0.5000 0.5000 1
Os1 0.0000 0.5000 0.5000 1
Os2 0.5000 0.0000 0.5000 1
Os3 0.5000 0.5000 0.0000 1
```



A relaxed structure of LiY2HgC, computed with PBE.

For the energy above the most stable polymorph in this dataset, the calculation gives 6.69 eV per formula unit. The crystal system is tetragonal. The value obtained for the formation energy from the elements is 1113 meV/atom.

CIF file:
```
data_LiY2HgC
_chemical_formula_sum 'Li1 Y2 Hg1 C1'
_symmetry_space_group_name_H-M 'P 1'
_symmetry_Int_Tables_number 1
_symmetry_space_group_name_Hall 'P 1'
_cell_length_a 5.9323
_cell_length_b 5.9323
_cell_length_c 3.9319
_cell_angle_alpha 90.00
_cell_angle_beta 90.00
_cell_angle_gamma 90.00
loop_
_atom_site_label
_atom_site_fract_x
_atom_site_fract_y
_atom_site_fract_z
_atom_site_occupancy
Li1 0.0000 0.0000 0.0000 1
Y1 0.0000 0.5000 0.5000 1
Y2 0.5000 0.0000 0.5000 1
Hg1 0.5000 0.5000 0.5000 1
C1 0.5000 0.5000 0.0000 1
```



A relaxed structure of BaSrZn2H8, computed with PBE.

The crystal system is trigonal.

CIF file:
```
data_BaSrZn2H8
_chemical_formula_sum 'Ba1 Sr1 Zn2 H8'
_symmetry_space_group_name_H-M 'P 1'
_symmetry_Int_Tables_number 1
_symmetry_space_group_name_Hall 'P 1'
_cell_length_a 4.9904
_cell_length_b 4.9904
_cell_length_c 8.2914
_cell_angle_alpha 90.00
_cell_angle_beta 90.00
_cell_angle_gamma 120.00
loop_
_atom_site_label
_atom_site_fract_x
_atom_site_fract_y
_atom_site_fract_z
_atom_site_occupancy
Ba1 0.0000 0.0000 0.0000 1
Sr1 0.0000 0.0000 0.5000 1
Zn1 0.3333 0.6667 0.7636 1
Zn2 0.6667 0.3333 0.2364 1
H1 0.0265 0.3433 0.7091 1
H2 0.3169 0.9735 0.7091 1
H3 0.3333 0.6667 0.9632 1
H4 0.3433 0.3169 0.2909 1
H5 0.6567 0.6831 0.7091 1
H6 0.6667 0.3333 0.0368 1
H7 0.6831 0.0265 0.2909 1
H8 0.9735 0.6567 0.2909 1
```



no.,DOS(E_F) (states/eV per cell),total moment (μB per atom),raw total energy (eV/atom)
1,3.740,0.122,-3.889
2,4.401,2.467,-6.759
3,4.552,0.000,-4.346
4,4.845,0.000,-9.001
5,6.532,0.390,-3.761
6,0.000,0.000,-3.035